Below is an optimized crystal structure of Y5PtS4, with properties calculated at the PBE level.

D(E_F): 9.549 states/eV per cell
ΔE_f (raw): -1819 meV/atom

The structure in CIF format:
```
data_Y5PtS4
_cell_length_a 3.9492
_cell_length_b 3.9492
_cell_length_c 28.3583
_cell_angle_alpha 90.00
_cell_angle_beta 90.00
_cell_angle_gamma 90.00
_space_group_name_H-M_alt 'I 4/m m m'
_space_group_IT_number 139
_space_group_name_Hall '-I 4 2'
loop_
_atom_site_label
_atom_site_fract_x
_atom_site_fract_y
_atom_site_fract_z
_atom_site_occupancy
Y1 0.0000 0.0000 0.0000 1
Y2 0.0000 0.0000 0.2025 1
Y3 0.0000 0.0000 0.3979 1
Pt1 0.0000 0.0000 0.5000 1
S1 0.0000 0.0000 0.1044 1
S2 0.0000 0.0000 0.3004 1
```